Material: LaTcCl2
Method: DFT, GGA-PBEsol
State: relaxed

```
4
Lattice="3.020 -4.353 0.000 3.020 4.353 0.000 -2.588 0.000 3.239" Properties=species:S:1:pos:R:3 pbc="T T T"
La 0.000 0.000 0.000
Tc 3.020 0.000 0.000
Cl 0.216 2.177 1.620
Cl 0.216 -2.177 1.620
```

Summary:
* size of the total moment: 1.42 Bohr magnetons per cell
* raw formation energy: -434 meV per atom
* density of states at the Fermi level: 0.613 states/eV/atom
* symmetry: C2/m
* E_tot: -22.366 eV for the cell shown